DFT (PBE) results for a relaxed GdPaSb2 crystal.

POSCAR file:
```
GdPaSb2
1.0
-0.188 -0.311 5.321
-4.612 -1.087 2.446
-0.713 -4.723 2.371
Sb Gd Pa
2 1 1
Direct
0.750 0.750 0.750
0.250 0.250 0.250
0.500 0.500 0.500
0.000 0.000 0.000
```

Computed properties:
The calculated density is 9782 kg/m3. As for the uncorrected formation energy: -658 meV/atom. The offset from the most stable computed form is 12 meV per atom. The density of states at the Fermi level is 2.739 states/eV per cell. The total energy is -8.61 eV/atom. As for the symmetry: Fm-3m, No. 225.